No. 1
Density functional theory data (PBE) for SrFeTe2 after structural relaxation.

Values from the calculation:
As for the calculated total energy: -3.918 eV per atom. The calculation puts the density at 6.244 g cm⁻³. Its total magnetization is 0.87 μB/atom.

a = 5.3125 Å, b = 5.3125 Å, c = 5.3125 Å
α = 60.00°, β = 60.00°, γ = 60.00°
Closest atoms and distances in Å follow each position.
Positions (direct):
Te  0.7500  0.7500  0.7500  4 Sr 3.25, 4 Te 3.25
Te  0.0000  0.0000  0.0000  4 Fe 3.25, 4 Te 3.25
Sr  0.5000  0.5000  0.5000  4 Fe 3.25, 4 Te 3.25
Fe  0.2500  0.2500  0.2500  4 Sr 3.25, 4 Te 3.25


No. 2
Density functional theory data (PBE) for SrFeW2 after structural relaxation.

Values from the calculation:
As for the calculated total energy: -7.850 eV per atom. The calculation puts the density at 11.805 g cm⁻³. Its total magnetization is 0.53 μB/atom.

a = 4.6675 Å, b = 4.6675 Å, c = 4.6675 Å
α = 60.00°, β = 60.00°, γ = 60.00°
Closest atoms and distances in Å follow each position.
Positions (direct):
Fe  0.2500  0.2500  0.2500  4 Sr 2.86, 4 W 2.86
W  0.0000  0.0000  0.0000  4 W 2.86, 4 Fe 2.86
W  0.7500  0.7500  0.7500  4 Sr 2.86, 4 W 2.86
Sr  0.5000  0.5000  0.5000  4 W 2.86, 4 Fe 2.86


No. 3
Density functional theory data (PBE) for SrZnFe2 after structural relaxation.

Values from the calculation:
As for the calculated total energy: -4.283 eV per atom. The calculation puts the density at 5.985 g cm⁻³. Its total magnetization is 1.33 μB/atom.

a = 4.7008 Å, b = 4.7008 Å, c = 4.7008 Å
α = 60.00°, β = 60.00°, γ = 60.00°
Closest atoms and distances in Å follow each position.
Positions (direct):
Sr  0.7500  0.7500  0.7500  4 Zn 2.88, 4 Fe 2.88
Fe  0.0000  0.0000  0.0000  4 Fe 2.88, 4 Sr 2.88
Fe  0.2500  0.2500  0.2500  4 Fe 2.88, 4 Zn 2.88
Zn  0.5000  0.5000  0.5000  4 Fe 2.88, 4 Sr 2.88


No. 4
Density functional theory data (PBE) for TaFe after structural relaxation.

Values from the calculation:
As for the calculated total energy: -8.588 eV per atom. The calculation puts the density at 9.986 g cm⁻³. Its total magnetization is 0.02 μB/atom. The calculated formation energy comes out at 1.49 eV/atom.

a = 3.8317 Å, b = 3.8317 Å, c = 6.1937 Å
α = 90.00°, β = 90.00°, γ = 120.00°
Closest atoms and distances in Å follow each position.
Positions (direct):
Fe  0.3333  0.6667  0.4992  4 Ta 2.33-2.34
Fe  0.0000  0.0000  0.9992  4 Ta 2.33-2.34
Ta  0.3333  0.6667  0.8758  4 Fe 2.33-2.34
Ta  0.0000  0.0000  0.3758  4 Fe 2.33-2.34


No. 5
Density functional theory data (PBE) for Ta7Fe6 after structural relaxation.

Values from the calculation:
As for the calculated total energy: -10.400 eV per atom. The calculation puts the density at 14.046 g cm⁻³. Its total magnetization is 0.57 μB/atom. The calculated formation energy comes out at -0.18 eV/atom.

a = 9.4356 Å, b = 9.4356 Å, c = 9.4356 Å
α = 30.29°, β = 30.29°, γ = 30.29°
Closest atoms and distances in Å follow each position.
Positions (direct):
Ta  0.4510  0.4510  0.4510  2 Ta 2.65-2.79, 6 Fe 2.69
Ta  0.5490  0.5490  0.5490  2 Ta 2.65-2.79, 6 Fe 2.69
Ta  0.8330  0.8330  0.8330  6 Fe 2.76-2.81, 3 Ta 2.85
Ta  0.1670  0.1670  0.1670  6 Fe 2.76-2.81, 3 Ta 2.85
Ta  0.6523  0.6523  0.6523  7 Ta 2.79-2.95, 9 Fe 2.85-3.00
Ta  0.3477  0.3477  0.3477  7 Ta 2.79-2.95, 9 Fe 2.85-3.00
Ta  0.0000  0.0000  0.0000  6 Fe 2.56
Fe  0.9073  0.9073  0.4191  4 Fe 2.41-2.52, 3 Ta 2.56-2.69
Fe  0.0927  0.0927  0.5809  4 Fe 2.41-2.52, 3 Ta 2.56-2.69
Fe  0.9073  0.4191  0.9073  4 Fe 2.41-2.52, 3 Ta 2.56-2.69
Fe  0.4191  0.9073  0.9073  4 Fe 2.41-2.52, 3 Ta 2.56-2.69
Fe  0.5809  0.0927  0.0927  4 Fe 2.41-2.52, 3 Ta 2.56-2.69
Fe  0.0927  0.5809  0.0927  4 Fe 2.41-2.52, 3 Ta 2.56-2.69


No. 6
Density functional theory data (PBE) for Ta6Fe7 after structural relaxation.

Values from the calculation:
As for the calculated total energy: -10.151 eV per atom. The calculation puts the density at 13.475 g cm⁻³. Its total magnetization is 0.67 μB/atom. The calculated formation energy comes out at -0.21 eV/atom.

a = 9.3472 Å, b = 9.3472 Å, c = 9.3472 Å
α = 30.10°, β = 30.10°, γ = 30.10°
Closest atoms and distances in Å follow each position.
Positions (direct):
Ta  0.1656  0.1656  0.1656  9 Ta 2.80-3.11, 6 Fe 2.81-2.86
Ta  0.4505  0.4505  0.4505  2 Ta 2.65-2.77, 6 Fe 2.68
Ta  0.8344  0.8344  0.8344  9 Ta 2.80-3.11, 6 Fe 2.81-2.86
Ta  0.6530  0.6530  0.6530  12 Fe 2.75-2.92, 4 Ta 2.77-2.90
Ta  0.3470  0.3470  0.3470  12 Fe 2.75-2.92, 4 Ta 2.77-2.90
Ta  0.5495  0.5495  0.5495  2 Ta 2.65-2.77, 6 Fe 2.68
Fe  0.5918  0.0921  0.0921  5 Fe 2.43-2.44, 2 Ta 2.68
Fe  0.9079  0.9079  0.4082  5 Fe 2.43-2.44, 2 Ta 2.68
Fe  0.9079  0.4082  0.9079  5 Fe 2.43-2.44, 2 Ta 2.68
Fe  0.4082  0.9079  0.9079  5 Fe 2.43-2.44, 2 Ta 2.68
Fe  0.0921  0.5918  0.0921  5 Fe 2.43-2.44, 2 Ta 2.68
Fe  0.0921  0.0921  0.5918  5 Fe 2.43-2.44, 2 Ta 2.68
Fe  0.0000  0.0000  0.0000  6 Fe 2.44